## Er2ZrTl3Te6 (GGA-PBE)

Data for an optimized crystal structure of Er2ZrTl3Te6.

abc: 7.4904 7.4904 8.6295
angles: 98.32 98.32 119.97
Closest atoms and distances in Å follow each position.
Atoms (fractional coordinates):
Te: 0.0695 0.3935 0.2096  1 Zr 2.98, 2 Er 3.07-3.08
Te: 0.9305 0.6065 0.7904  1 Zr 2.98, 2 Er 3.07-3.08
Te: 0.3935 0.0695 0.2096  1 Zr 2.98, 2 Er 3.07-3.08
Te: 0.2525 0.2525 0.7872  1 Zr 2.99, 2 Er 3.08
Te: 0.6065 0.9305 0.7904  1 Zr 2.98, 2 Er 3.07-3.08
Te: 0.7475 0.7475 0.2128  1 Zr 2.99, 2 Er 3.08
Er: 0.6658 0.3342 0.0000  6 Te 3.07-3.08
Er: 0.3342 0.6658 0.0000  6 Te 3.07-3.08
Tl: 0.8292 0.1708 0.5000  6 Te 3.44-3.48
Tl: 0.5000 0.5000 0.5000  6 Te 3.44-3.50
Tl: 0.1708 0.8292 0.5000  6 Te 3.44-3.48
Zr: 0.0000 0.0000 0.0000  6 Te 2.98-2.99

Calculated values
N(E_F)   5.10 states/eV/cell
Magnetic moment   0.82 μB per formula unit
SG   C2/m, No. 12


## Er4Tm2Te9 (GGA-PBE)

Data for an optimized crystal structure of Er4Tm2Te9.

abc: 7.6194 7.6193 20.8818
angles: 90.00 90.00 60.00
Closest atoms and distances in Å follow each position.
Atoms (fractional coordinates):
Te: 0.3506 0.6678 0.4166  1 Tm 3.03, 3 Er 3.04-3.08
Te: 0.3508 0.9818 0.9165  1 Tm 3.03, 3 Er 3.04-3.08
Te: 0.0185 0.6493 0.5835  1 Tm 3.03, 3 Er 3.04-3.08
Te: 0.9817 0.6678 0.9166  1 Tm 3.03, 3 Er 3.04-3.08
Te: 0.3137 0.0001 0.2500  2 Er 3.04, 2 Tm 3.07
Te: 0.6863 0.9999 0.7500  2 Er 3.04, 2 Tm 3.07
Te: 0.6858 0.3139 0.2500  2 Er 3.04, 2 Tm 3.07
Te: 0.3142 0.6861 0.7500  2 Er 3.04, 2 Tm 3.07
Te: 0.6494 0.3322 0.5834  1 Tm 3.03, 3 Er 3.04-3.08
Te: 0.0002 0.3140 0.7500  2 Er 3.04, 2 Tm 3.07
Te: 0.0183 0.3322 0.0834  1 Tm 3.03, 3 Er 3.04-3.08
Te: 0.9998 0.6860 0.2500  2 Er 3.04, 2 Tm 3.07
Te: 0.3323 0.6493 0.0834  1 Tm 3.03, 3 Er 3.04-3.08
Te: 0.9815 0.3507 0.4165  1 Tm 3.03, 3 Er 3.04-3.08
Te: 0.6677 0.3507 0.9166  1 Tm 3.03, 3 Er 3.04-3.08
Te: 0.6674 0.9817 0.4165  1 Tm 3.03, 3 Er 3.04-3.08
Te: 0.6492 0.0182 0.0835  1 Tm 3.03, 3 Er 3.04-3.08
Te: 0.3326 0.0183 0.5835  1 Tm 3.03, 3 Er 3.04-3.08
Tm: 0.9998 0.0000 0.1578  6 Te 3.03-3.07
Tm: 0.0002 0.0000 0.8422  6 Te 3.03-3.07
Tm: 0.0002 0.0001 0.6579  6 Te 3.03-3.07
Tm: 0.9998 0.9999 0.3421  6 Te 3.03-3.07
Er: 0.6670 0.6667 0.8243  6 Te 3.04-3.08
Er: 0.6666 0.6667 0.0090  6 Te 3.04-3.08
Er: 0.3332 0.3334 0.4910  6 Te 3.04-3.08
Er: 0.3330 0.3333 0.1757  6 Te 3.04-3.08
Er: 0.6668 0.6666 0.5090  6 Te 3.04-3.08
Er: 0.3334 0.3333 0.9910  6 Te 3.04-3.08
Er: 0.6665 0.6666 0.3242  6 Te 3.04-3.08
Er: 0.3335 0.3334 0.6758  6 Te 3.04-3.08

Calculated values
Magnetic moment   0.00 μB per formula unit
SG   P-3c1, No. 165


## Er3Tm2Te6 (GGA-PBE)

Data for an optimized crystal structure of Er3Tm2Te6.

abc: 7.4425 7.4104 7.4187
angles: 80.31 70.42 59.86
Closest atoms and distances in Å follow each position.
Atoms (fractional coordinates):
Tm: 0.1639 0.6722 0.5000  6 Te 3.01-3.04
Tm: 0.8361 0.3278 0.5000  6 Te 3.01-3.04
Te: 0.5795 0.3236 0.2588  3 Er 3.04-3.09, 2 Tm 3.04
Te: 0.9031 0.6764 0.2588  3 Er 3.04-3.09, 2 Tm 3.04
Te: 0.2584 0.0000 0.2556  2 Tm 3.01, 3 Er 3.05-3.12
Te: 0.4205 0.6764 0.7412  3 Er 3.04-3.09, 2 Tm 3.04
Te: 0.0969 0.3236 0.7412  3 Er 3.04-3.09, 2 Tm 3.04
Te: 0.7416 0.0000 0.7444  2 Tm 3.01, 3 Er 3.05-3.12
Er: 0.0000 0.0000 0.0000  6 Te 3.04-3.12
Er: 0.6702 0.6595 0.0000  6 Te 3.04-3.09
Er: 0.3298 0.3405 0.0000  6 Te 3.04-3.09

Calculated values
N(E_F)   4.84 states/eV/cell
Magnetic moment   0.00 μB per formula unit
SG   C2/m, No. 12
ΔE to the lowest computed polymorph   0 meV per atom


## ErTm4Te5 (GGA-PBE)

Data for an optimized crystal structure of ErTm4Te5.

abc: 6.0994 7.4502 7.4502
angles: 80.35 65.84 65.84
Closest atoms and distances in Å follow each position.
Atoms (fractional coordinates):
Tm: 0.6019 0.6012 0.1953  6 Te 3.02-3.05
Tm: 0.7973 0.8047 0.6012  6 Te 3.02-3.05
Tm: 0.3985 0.3988 0.8047  6 Te 3.02-3.05
Tm: 0.2031 0.1953 0.3988  6 Te 3.02-3.05
Te: 0.5039 0.0000 0.0000  4 Tm 3.02, 2 Er 3.05
Te: 0.0989 0.5989 0.2038  5 Tm 3.03-3.05, 1 Er 3.06
Te: 0.6979 0.2038 0.4011  5 Tm 3.03-3.05, 1 Er 3.06
Te: 0.3027 0.7962 0.5989  5 Tm 3.03-3.05, 1 Er 3.06
Te: 0.9017 0.4011 0.7962  5 Tm 3.03-3.05, 1 Er 3.06
Er: 0.0043 0.0000 0.0000  6 Te 3.05-3.06

Calculated values
N(E_F)   5.60 states/eV/cell
Magnetic moment   0.00 μB per formula unit
SG   I4, No. 79
ΔE to the lowest computed polymorph   6 meV per atom


## Er2TmTe2 (GGA-PBE)

Data for an optimized crystal structure of Er2TmTe2.

abc: 5.9054 7.1971 8.2471
angles: 109.50 90.00 114.22
Closest atoms and distances in Å follow each position.
Atoms (fractional coordinates):
Er: 0.0384 0.0768 0.8089  4 Te 3.06-3.15
Er: 0.9616 0.9232 0.1911  4 Te 3.06-3.15
Er: 0.6949 0.3897 0.6624  5 Te 3.06-3.21, 1 Tm 3.41
Er: 0.3051 0.6103 0.3376  5 Te 3.06-3.21, 1 Tm 3.41
Te: 0.4786 0.9572 0.7311  2 Tm 3.04-3.10, 4 Er 3.06-3.21
Te: 0.5214 0.0428 0.2689  2 Tm 3.04-3.10, 4 Er 3.06-3.21
Te: 0.8416 0.6832 0.4468  5 Er 3.06-3.15, 1 Tm 3.09
Te: 0.1584 0.3168 0.5532  5 Er 3.06-3.15, 1 Tm 3.09
Tm: 0.3208 0.6416 0.9343  3 Te 3.04-3.10
Tm: 0.6792 0.3584 0.0657  3 Te 3.04-3.10

Calculated values
N(E_F)   8.26 states/eV/cell
Magnetic moment   0.00 μB per formula unit
SG   C2/m, No. 12


## Er3Tm2Te6 (GGA-PBE)

Data for an optimized crystal structure of Er3Tm2Te6.

abc: 4.3225 4.3225 21.4999
angles: 84.23 84.23 60.00
Closest atoms and distances in Å follow each position.
Atoms (fractional coordinates):
Te: 0.1953 0.1953 0.4141  3 Tm 2.95
Te: 0.8047 0.8047 0.5859  3 Tm 2.95
Te: 0.0827 0.0827 0.7519  3 Er 3.10, 3 Tm 3.18
Te: 0.6394 0.6394 0.0818  6 Er 3.03-3.05
Te: 0.3606 0.3606 0.9182  6 Er 3.03-3.05
Te: 0.9173 0.9173 0.2481  3 Er 3.10, 3 Tm 3.18
Er: 0.7207 0.7207 0.8378  6 Te 3.03-3.10
Er: 0.2793 0.2793 0.1622  6 Te 3.03-3.10
Er: 0.0000 0.0000 0.0000  6 Te 3.05
Tm: 0.4467 0.4467 0.6599  6 Te 2.95-3.18
Tm: 0.5533 0.5533 0.3401  6 Te 2.95-3.18

Calculated values
N(E_F)   4.89 states/eV/cell
Magnetic moment   0.00 μB per formula unit
SG   R-3m, No. 166
ΔE to the lowest computed polymorph   79 meV per atom


## Er3TmTe6 (GGA-PBE)

Data for an optimized crystal structure of Er3TmTe6.

abc: 8.9430 8.9430 8.9430
angles: 90.48 90.48 90.48
Closest atoms and distances in Å follow each position.
Atoms (fractional coordinates):
Er: 0.2427 0.5746 0.0820  6 Te 3.01-3.16
Er: 0.5746 0.0820 0.2427  6 Te 3.01-3.16
Er: 0.9180 0.7573 0.4254  6 Te 3.01-3.16
Er: 0.4254 0.9180 0.7573  6 Te 3.01-3.16
Er: 0.0820 0.2427 0.5746  6 Te 3.01-3.16
Er: 0.7573 0.4254 0.9180  6 Te 3.01-3.16
Te: 0.9090 0.6851 0.0866  1 Tm 3.03, 3 Er 3.06-3.15
Te: 0.1796 0.5389 0.4101  1 Tm 2.99, 3 Er 3.01-3.16
Te: 0.6851 0.0866 0.9090  1 Tm 3.03, 3 Er 3.06-3.15
Te: 0.9134 0.0910 0.3149  1 Tm 3.03, 3 Er 3.06-3.15
Te: 0.3149 0.9134 0.0910  1 Tm 3.03, 3 Er 3.06-3.15
Te: 0.8204 0.4611 0.5899  1 Tm 2.99, 3 Er 3.01-3.16
Te: 0.0910 0.3149 0.9134  1 Tm 3.03, 3 Er 3.06-3.15
Te: 0.5389 0.4101 0.1796  1 Tm 2.99, 3 Er 3.01-3.16
Te: 0.0866 0.9090 0.6851  1 Tm 3.03, 3 Er 3.06-3.15
Te: 0.4101 0.1796 0.5389  1 Tm 2.99, 3 Er 3.01-3.16
Te: 0.5899 0.8204 0.4611  1 Tm 2.99, 3 Er 3.01-3.16
Te: 0.4611 0.5899 0.8204  1 Tm 2.99, 3 Er 3.01-3.16
Tm: 0.5000 0.5000 0.5000  6 Te 2.99
Tm: 0.0000 0.0000 0.0000  6 Te 3.03

Calculated values
N(E_F)   0.00 states/eV/cell
Magnetic moment   0.00 μB per formula unit
SG   R-3, No. 148
ΔE to the lowest computed polymorph   7 meV per atom


## ErTm5Te2 (GGA-PBE)

Data for an optimized crystal structure of ErTm5Te2.

abc: 3.8295 8.0103 8.0103
angles: 77.70 76.17 76.17
Closest atoms and distances in Å follow each position.
Atoms (fractional coordinates):
Tm: 0.6406 0.1484 0.5705  3 Te 3.10-3.23, 5 Tm 3.31-3.34
Tm: 0.3594 0.4295 0.8516  3 Te 3.10-3.23, 5 Tm 3.31-3.34
Tm: 0.3594 0.8516 0.4295  3 Te 3.10-3.23, 5 Tm 3.31-3.34
Tm: 0.6406 0.5705 0.1484  3 Te 3.10-3.23, 5 Tm 3.31-3.34
Tm: 0.0000 0.5000 0.5000  2 Te 3.19, 8 Tm 3.31
Te: 0.7317 0.7683 0.7683  7 Tm 3.10-3.23, 2 Er 3.35
Te: 0.2683 0.2317 0.2317  7 Tm 3.10-3.23, 2 Er 3.35
Er: 0.0000 0.0000 0.0000  4 Te 3.35

Calculated values
N(E_F)   7.87 states/eV/cell
Magnetic moment   0.00 μB per formula unit
SG   Immm, No. 71


## Er5Tm2Te4 (GGA-PBE)

Data for an optimized crystal structure of Er5Tm2Te4.

abc: 3.8317 7.6759 14.5989
angles: 125.94 97.54 90.00
Closest atoms and distances in Å follow each position.
Atoms (fractional coordinates):
Te: 0.7244 0.6507 0.4488  6 Er 3.06-3.21
Te: 0.0724 0.3969 0.1449  2 Tm 3.04-3.11, 4 Er 3.05-3.13
Te: 0.9276 0.6031 0.8551  2 Tm 3.04-3.11, 4 Er 3.05-3.13
Te: 0.2756 0.3493 0.5512  6 Er 3.06-3.21
Er: 0.8473 0.7367 0.6945  4 Te 3.05-3.21, 1 Tm 3.26
Er: 0.1527 0.2633 0.3055  4 Te 3.05-3.21, 1 Tm 3.26
Er: 0.8142 0.1426 0.6285  4 Te 3.06-3.09, 1 Tm 3.41
Er: 0.1858 0.8574 0.3715  4 Te 3.06-3.09, 1 Tm 3.41
Er: 0.5000 0.0000 0.0000  4 Te 3.13
Tm: 0.9473 0.2561 0.8946  2 Te 3.04-3.11, 1 Tm 3.13, 1 Er 3.26
Tm: 0.0527 0.7439 0.1054  2 Te 3.04-3.11, 1 Tm 3.13, 1 Er 3.26

Calculated values
N(E_F)   13.29 states/eV/cell
Magnetic moment   1.33 μB per formula unit
SG   C2/m, No. 12


| no. | density (g/cm3) | uncorrected formation energy (eV per atom) |
| --- | --- | --- |
| 1 | 7.5 | -0.88 |
| 2 | 6.8 | -1.34 |
| 3 | 8.0 | -1.33 |
| 4 | 8.7 | -1.17 |
| 5 | 8.5 | -0.88 |
| 6 | 7.7 | -1.25 |
| 7 | 6.7 | -1.30 |
| 8 | 9.2 | -0.48 |
| 9 | 8.2 | -0.57 |